(1)
## Ho3ZnHg3 (PBE)

Data for a relaxed structure of Ho3ZnHg3.

abc: 3.641 4.754 19.789
angles: 90.00 90.00 90.00
Atoms (fractional coordinates):
Ho1 0.000 0.000 0.000
Ho2 0.000 0.000 0.388
Ho3 0.000 0.500 0.198
Ho4 0.500 0.000 0.698
Ho5 0.500 0.500 0.500
Ho6 0.500 0.500 0.888
Zn1 0.000 0.500 0.764
Zn2 0.500 0.000 0.264
Hg1 0.000 0.000 0.544
Hg2 0.000 0.000 0.839
Hg3 0.000 0.500 0.633
Hg4 0.500 0.000 0.133
Hg5 0.500 0.500 0.044
Hg6 0.500 0.500 0.339

Output
crystal system	orthorhombic
DFT formation energy	-0.389	eV/atom
SG	Imm2

(2)
## Pu2BiBr2 (PBE)

Data for a relaxed structure of Pu2BiBr2.

abc: 4.424 4.424 31.320
angles: 90.00 90.00 120.00
Atoms (fractional coordinates):
Pu1 0.000 0.000 0.106
Pu2 0.000 0.000 0.894
Pu3 0.333 0.667 0.561
Pu4 0.333 0.667 0.772
Pu5 0.667 0.333 0.228
Pu6 0.667 0.333 0.439
Bi1 0.000 0.000 0.500
Bi2 0.333 0.667 0.167
Bi3 0.667 0.333 0.833
Br1 0.000 0.000 0.278
Br2 0.000 0.000 0.722
Br3 0.333 0.667 0.389
Br4 0.333 0.667 0.945
Br5 0.667 0.333 0.055
Br6 0.667 0.333 0.611

Output
formation energy without anion corrections	-97.3	kJ per mole of atoms
crystal system	trigonal
SG	R-3m